[1]
This record from Alexandria via LeMat-Bulk describes a geometry-optimized CeTePd structure. The functional is PBE.

Calculated values
Magnetic moment (μB/f.u.): 0.855
Space group: F-43m (216)
Formation energy (no corrections) (meV per atom): -947
Relative energy among the computed polymorphs (meV/atom): 63

Unit cell a=4.7832 b=4.7832 c=4.7832 alpha=60.00 beta=60.00 gamma=60.00
Closest atoms and distances in Å follow each position.
Sites, in units of the cell vectors:
Ce  0.0000  0.0000  0.0000  4 Pd 2.93
Te  0.5000  0.5000  0.5000  4 Pd 2.93
Pd  0.7500  0.7500  0.7500  4 Ce 2.93, 4 Te 2.93

***

[2]
This record from Alexandria via LeMat-Bulk describes a geometry-optimized ZnCu2Tc structure. The functional is PBE.

Calculated values
Magnetic moment (μB/f.u.): 0.000
Space group: P4mm (99)
VASP energy (eV per atom): -4.875

Unit cell a=2.6020 b=2.6020 c=7.7618 alpha=90.00 beta=90.00 gamma=90.00
Closest atoms and distances in Å follow each position.
Sites, in units of the cell vectors:
Zn  0.0000  0.0000  0.0000  4 Zn 2.60, 4 Cu 2.63, 4 Tc 2.78
Cu  0.0000  0.0000  0.4762  8 Cu 2.59-2.60, 4 Tc 2.70
Cu  0.5000  0.5000  0.2414  8 Cu 2.59-2.60, 4 Zn 2.63
Tc  0.5000  0.5000  0.7307  4 Tc 2.60, 4 Cu 2.70, 4 Zn 2.78

***

[3]
This record from Alexandria via LeMat-Bulk describes a geometry-optimized AcEr3Ni structure. The functional is PBE.

Calculated values
Magnetic moment (μB/f.u.): 0.000
Space group: Pm-3m (221)
VASP energy (eV per atom): -4.836

Unit cell a=5.3562 b=5.3562 c=5.3562 alpha=90.00 beta=90.00 gamma=90.00
Closest atoms and distances in Å follow each position.
Sites, in units of the cell vectors:
Ac  0.0000  0.0000  0.0000  12 Er 3.79
Er  0.0000  0.5000  0.5000  2 Ni 2.68
Er  0.5000  0.0000  0.5000  2 Ni 2.68
Er  0.5000  0.5000  0.0000  2 Ni 2.68
Ni  0.5000  0.5000  0.5000  6 Er 2.68

***

[4]
This record from Alexandria via LeMat-Bulk describes a geometry-optimized ScOs2Cl structure. The functional is PBE.

Calculated values
Magnetic moment (μB/f.u.): 0.000
Space group: I-42d (122)
Formation energy (no corrections) (meV per atom): 727
Relative energy among the computed polymorphs (meV/atom): 841

Unit cell a=5.8703 b=5.8703 c=5.8703 alpha=99.71 beta=99.71 gamma=131.51
Closest atoms and distances in Å follow each position.
Sites, in units of the cell vectors:
Sc  0.0000  0.0000  0.0000  2 Cl 2.41
Sc  0.7500  0.2500  0.5000  2 Cl 2.41
Os  0.1868  0.6250  0.0618  2 Cl 2.44, 2 Os 2.59
Os  0.3750  0.4368  0.5618  2 Cl 2.44, 2 Os 2.59
Os  0.5632  0.1250  0.9382  2 Cl 2.44, 2 Os 2.59
Os  0.8750  0.8132  0.4382  2 Cl 2.44, 2 Os 2.59
Cl  0.2500  0.7500  0.5000  2 Sc 2.41, 4 Os 2.44
Cl  0.5000  0.5000  0.0000  2 Sc 2.41, 4 Os 2.44

***

[5]
This record from Alexandria via LeMat-Bulk describes a geometry-optimized La3Ce2PuAs6 structure. The functional is PBE.

Calculated values
Magnetic moment (μB/f.u.): 6.550
Space group: C2/m (12)
VASP energy (eV per atom): -7.164

Unit cell a=7.4184 b=7.4184 c=7.4359 alpha=99.57 beta=99.57 gamma=120.00
Closest atoms and distances in Å follow each position.
Sites, in units of the cell vectors:
La  0.0000  0.0000  0.0000  6 As 3.08-3.09
La  0.3330  0.6670  0.0000  6 As 3.08-3.09
La  0.6670  0.3330  0.0000  6 As 3.08-3.09
Ce  0.1667  0.8333  0.5000  6 As 2.99
Ce  0.8333  0.1667  0.5000  6 As 2.99
Pu  0.5000  0.5000  0.5000  6 As 2.98
As  0.0886  0.4208  0.2623  1 Pu 2.98, 2 Ce 2.99, 3 La 3.08-3.09
As  0.2470  0.2470  0.7381  1 Pu 2.98, 2 Ce 2.99, 3 La 3.08-3.09
As  0.4208  0.0886  0.2623  1 Pu 2.98, 2 Ce 2.99, 3 La 3.08-3.09
As  0.5792  0.9114  0.7377  1 Pu 2.98, 2 Ce 2.99, 3 La 3.08-3.09
As  0.7530  0.7530  0.2619  1 Pu 2.98, 2 Ce 2.99, 3 La 3.08-3.09
As  0.9114  0.5792  0.7377  1 Pu 2.98, 2 Ce 2.99, 3 La 3.08-3.09

***

[6]
This record from Alexandria via LeMat-Bulk describes a geometry-optimized MnVNi5 structure. The functional is PBE.

Calculated values
Magnetic moment (μB/f.u.): 0.000
Space group: C2/c (15)
Relative energy among the computed polymorphs (meV/atom): 24

Unit cell a=4.3976 b=4.3976 c=8.7066 alpha=101.30 beta=101.30 gamma=98.90
Closest atoms and distances in Å follow each position.
Sites, in units of the cell vectors:
Mn  0.0000  0.5000  0.0000  10 Ni 2.33-2.56
Mn  0.5000  0.0000  0.5000  10 Ni 2.33-2.56
V  0.2129  0.7871  0.7500  9 Ni 2.38-2.58
V  0.7871  0.2129  0.2500  9 Ni 2.38-2.58
Ni  0.0776  0.2788  0.5456  5 Ni 2.32-2.49, 2 Mn 2.43-2.56, 2 V 2.48-2.58
Ni  0.1432  0.8568  0.2500  6 Ni 2.32-2.48, 2 Mn 2.33, 1 V 2.38
Ni  0.2788  0.0776  0.0456  5 Ni 2.32-2.49, 2 Mn 2.43-2.56, 2 V 2.48-2.58
Ni  0.3623  0.4315  0.3560  7 Ni 2.39-2.66, 2 V 2.48, 2 Mn 2.49-2.56
Ni  0.4315  0.3623  0.8560  7 Ni 2.39-2.66, 2 V 2.48, 2 Mn 2.49-2.56
Ni  0.5685  0.6377  0.1440  7 Ni 2.39-2.66, 2 V 2.48, 2 Mn 2.49-2.56
Ni  0.6377  0.5685  0.6440  7 Ni 2.39-2.66, 2 V 2.48, 2 Mn 2.49-2.56
Ni  0.7212  0.9224  0.9544  5 Ni 2.32-2.49, 2 Mn 2.43-2.56, 2 V 2.48-2.58
Ni  0.8568  0.1432  0.7500  6 Ni 2.32-2.48, 2 Mn 2.33, 1 V 2.38
Ni  0.9224  0.7212  0.4544  5 Ni 2.32-2.49, 2 Mn 2.43-2.56, 2 V 2.48-2.58

***

[7]
This record from Alexandria via LeMat-Bulk describes a geometry-optimized InCuBi2 structure. The functional is PBE.

Calculated values
Magnetic moment (μB/f.u.): 0.000
Space group: R-3m (166)
VASP energy (eV per atom): -3.342

Unit cell a=11.2736 b=11.2736 c=11.2736 alpha=17.57 beta=17.57 gamma=17.57
Closest atoms and distances in Å follow each position.
Sites, in units of the cell vectors:
In  0.0000  0.0000  0.0000  6 In 3.44, 6 Bi 3.55
Cu  0.5000  0.5000  0.5000  2 Bi 2.61
Bi  0.4215  0.4215  0.4215  1 Cu 2.61
Bi  0.5785  0.5785  0.5785  1 Cu 2.61

***

[8]
This record from Alexandria via LeMat-Bulk describes a geometry-optimized KCdTc2 structure. The functional is PBE.

Calculated values
Magnetic moment (μB/f.u.): 0.000
Space group: Cmm2 (35)
VASP energy (eV per atom): -4.999

Unit cell a=2.8310 b=2.8310 c=10.7454 alpha=90.00 beta=90.00 gamma=115.32
Closest atoms and distances in Å follow each position.
Sites, in units of the cell vectors:
K  0.0000  0.0000  0.0000  6 K 2.83-3.03
Cd  0.5000  0.5000  0.6994  6 Cd 2.83-3.03, 2 Tc 2.97
Tc  0.0000  0.0000  0.4615  6 Tc 2.55-2.83
Tc  0.5000  0.5000  0.2707  6 Tc 2.55-2.83